# TcOF4, optimized geometry, DFT PBEsol
data_TcOF4
_cell_length_a 9.0278
_cell_length_b 9.0278
_cell_length_c 8.0885
_cell_angle_alpha 90.00
_cell_angle_beta 90.00
_cell_angle_gamma 120.00
_space_group_name_H-M_alt 'P 63/m'
_space_group_IT_number 176
_space_group_name_Hall '-P 6c'
loop_
_atom_site_label
_atom_site_fract_x
_atom_site_fract_y
_atom_site_fract_z
Tc1 0.0666 0.6664 0.2500
O1 0.1377 0.4646 0.7500
F1 0.0843 0.8769 0.2500
F2 0.1195 0.6964 0.0273
F3 0.1512 0.5102 0.2500
# DFT total energy (eV per atom): -6.015
# Density (g/cm³): 3.32
# Spin magnetization (μB per formula unit): 1.000
# Uncorrected formation energy (eV/atom): -1.978

***

# TcO3F, optimized geometry, DFT PBEsol
data_TcO3F
_cell_length_a 5.860
_cell_length_b 5.160
_cell_length_c 9.242
_cell_angle_alpha 90.00
_cell_angle_beta 92.64
_cell_angle_gamma 90.00
_space_group_name_H-M_alt 'P 1 21/c 1'
_space_group_IT_number 14
_space_group_name_Hall '-P 2ybc'
loop_
_atom_site_label
_atom_site_fract_x
_atom_site_fract_y
_atom_site_fract_z
Tc1 0.166 0.100 0.361
O1 0.033 0.247 0.714
O2 0.271 0.154 0.960
O3 0.393 0.546 0.797
F1 0.158 0.632 0.038
# DFT total energy (eV per atom): -7.297
# Density (g/cm³): 3.93
# Spin magnetization (μB per formula unit): 0.000
# Uncorrected formation energy (eV/atom): -1.509

***

# TlTcOF2, optimized geometry, DFT PBEsol
data_TlTcOF2
_cell_length_a 4.498
_cell_length_b 4.498
_cell_length_c 4.146
_cell_angle_alpha 90.00
_cell_angle_beta 90.00
_cell_angle_gamma 90.00
_space_group_name_H-M_alt 'P 4/m m m'
_space_group_IT_number 123
_space_group_name_Hall '-P 4 2'
loop_
_atom_site_label
_atom_site_fract_x
_atom_site_fract_y
_atom_site_fract_z
Tl1 0.000 0.000 0.000
Tc1 0.500 0.500 0.500
O1 0.000 0.000 0.500
F1 0.000 0.500 0.000
# DFT total energy (eV per atom): -4.719
# Density (g/cm³): 7.06
# Spin magnetization (μB per formula unit): 4.586
# Uncorrected formation energy (eV/atom): -0.119

***

# TcWO2F, optimized geometry, DFT PBEsol
data_TcWO2F
_cell_length_a 3.656
_cell_length_b 3.656
_cell_length_c 5.451
_cell_angle_alpha 90.00
_cell_angle_beta 90.00
_cell_angle_gamma 90.00
_space_group_name_H-M_alt 'P 4/m m m'
_space_group_IT_number 123
_space_group_name_Hall '-P 4 2'
loop_
_atom_site_label
_atom_site_fract_x
_atom_site_fract_y
_atom_site_fract_z
Tc1 0.000 0.000 0.000
W1 0.500 0.500 0.500
O1 0.000 0.500 0.000
F1 0.000 0.000 0.500
# DFT total energy (eV per atom): -7.361
# Density (g/cm³): 7.59
# Spin magnetization (μB per formula unit): 3.695
# Uncorrected formation energy (eV/atom): 0.139